Computed, not measured: SrIn2O4 at its PBEsol-relaxed geometry at the meta-GGA SCAN level of DFT.

Properties
DOS(E_F), states/eV/cell: 0.00
ΔE_f (raw), eV per atom: -2.2173
Calculated volume, Å³/cell: 371

CIF file:
```
data_SrIn2O4
_symmetry_space_group_name_H-M 'P n m a'
_symmetry_Int_Tables_number 62
_cell_length_a 9.8220
_cell_length_b 3.2787
_cell_length_c 11.5108
_cell_angle_alpha 90.00
_cell_angle_beta 90.00
_cell_angle_gamma 90.00
loop_
_symmetry_equiv_pos_as_xyz
'x,y,z'
'-x,-y,-z'
'-x+1/2,-y,z+1/2'
'x+1/2,y,-z+1/2'
'x+1/2,-y+1/2,-z+1/2'
'-x+1/2,y+1/2,z+1/2'
'-x,y+1/2,-z'
'x,-y+1/2,z'
loop_
_atom_site_label
_atom_site_fract_x
_atom_site_fract_y
_atom_site_fract_z
Sr1 0.2441 0.2500 0.1528
In1 0.0700 0.2500 0.3889
In2 0.0812 0.2500 0.8940
O1 0.0229 0.7500 0.7826
O2 0.0814 0.2500 0.5750
O3 0.1220 0.7500 0.0216
O4 0.2067 0.7500 0.3318
```

***

Computed, not measured: Sr2TaInO6 at its PBEsol-relaxed geometry at the meta-GGA SCAN level of DFT.

Properties
DOS(E_F), states/eV/cell: 0.00
ΔE_f (raw), eV per atom: -2.9504
Calculated volume, Å³/cell: 267

CIF file:
```
data_Sr2TaInO6
_symmetry_space_group_name_H-M 'I 4/m'
_symmetry_Int_Tables_number 87
_symmetry_space_group_name_Hall '-I 4'
_cell_length_a 5.6924
_cell_length_b 5.6924
_cell_length_c 8.2414
_cell_angle_alpha 90.00
_cell_angle_beta 90.00
_cell_angle_gamma 90.00
loop_
_atom_site_label
_atom_site_fract_x
_atom_site_fract_y
_atom_site_fract_z
Sr1 0.0000 0.5000 0.2500
Ta1 0.0000 0.0000 0.0000
In1 0.0000 0.0000 0.5000
O1 0.0000 0.0000 0.2405
O2 0.1826 0.2967 0.0000
```

***

Computed, not measured: Ta3InO9 at its PBEsol-relaxed geometry at the meta-GGA SCAN level of DFT.

Properties
DOS(E_F), states/eV/cell: 0.00
ΔE_f (raw), eV per atom: -2.7385
Calculated volume, Å³/cell: 589
Distance to the lowest polymorph of the same formula, eV per atom: 0.038

CIF file:
```
data_Ta3InO9
_symmetry_space_group_name_H-M 'P n m a'
_symmetry_Int_Tables_number 62
_cell_length_a 6.3403
_cell_length_b 7.5220
_cell_length_c 12.3432
_cell_angle_alpha 90.00
_cell_angle_beta 90.00
_cell_angle_gamma 90.00
loop_
_symmetry_equiv_pos_as_xyz
'x,y,z'
'-x,-y,-z'
'-x+1/2,-y,z+1/2'
'x+1/2,y,-z+1/2'
'x+1/2,-y+1/2,-z+1/2'
'-x+1/2,y+1/2,z+1/2'
'-x,y+1/2,-z'
'x,-y+1/2,z'
loop_
_atom_site_label
_atom_site_fract_x
_atom_site_fract_y
_atom_site_fract_z
Ta1 0.0000 0.0000 0.0000
Ta2 0.1957 0.0026 0.2886
In1 0.0572 0.2500 0.5341
O1 0.0075 0.0538 0.1582
O2 0.0883 0.7500 0.0284
O3 0.1108 0.0400 0.6656
O4 0.1441 0.2500 0.3447
O5 0.2009 0.7500 0.2983
O6 0.2042 0.5505 0.4640
```

***

Computed, not measured: Ta3InO9 at its PBEsol-relaxed geometry at the meta-GGA SCAN level of DFT.

Properties
DOS(E_F), states/eV/cell: 0.00
ΔE_f (raw), eV per atom: -2.7762
Calculated volume, Å³/cell: 313
Distance to the lowest polymorph of the same formula, eV per atom: 0.000

CIF file:
```
data_Ta3InO9
_symmetry_space_group_name_H-M 'P 1 21/m 1'
_symmetry_Int_Tables_number 11
_cell_length_a 5.1286
_cell_length_b 7.3951
_cell_length_c 8.2634
_cell_angle_alpha 90.00
_cell_angle_beta 92.01
_cell_angle_gamma 90.00
loop_
_symmetry_equiv_pos_as_xyz
'x,y,z'
'-x,-y,-z'
'-x,y+1/2,-z'
'x,-y+1/2,z'
loop_
_atom_site_label
_atom_site_fract_x
_atom_site_fract_y
_atom_site_fract_z
Ta1 0.0000 0.0000 0.0000
Ta2 0.4731 0.0080 0.6956
In1 0.0263 0.2500 0.4385
O1 0.1088 0.2500 0.9757
O2 0.1476 0.5701 0.7846
O3 0.2553 0.5527 0.4714
O4 0.3223 0.2500 0.6496
O5 0.3295 0.5603 0.1196
O6 0.3988 0.2500 0.3175
```

***

Computed, not measured: TbInO3 at its PBEsol-relaxed geometry at the meta-GGA SCAN level of DFT.

Properties
DOS(E_F), states/eV/cell: 0.00
ΔE_f (raw), eV per atom: -2.8152
Calculated volume, Å³/cell: 258

CIF file:
```
data_TbInO3
_symmetry_space_group_name_H-M 'P n m a'
_symmetry_Int_Tables_number 62
_cell_length_a 5.8204
_cell_length_b 8.0877
_cell_length_c 5.4788
_cell_angle_alpha 90.00
_cell_angle_beta 90.00
_cell_angle_gamma 90.00
loop_
_symmetry_equiv_pos_as_xyz
'x,y,z'
'-x,-y,-z'
'-x+1/2,-y,z+1/2'
'x+1/2,y,-z+1/2'
'x+1/2,-y+1/2,-z+1/2'
'-x+1/2,y+1/2,z+1/2'
'-x,y+1/2,-z'
'x,-y+1/2,z'
loop_
_atom_site_label
_atom_site_fract_x
_atom_site_fract_y
_atom_site_fract_z
Tb1 0.0670 0.2500 0.0237
In1 0.0000 0.0000 0.5000
O1 0.0675 0.7500 0.3561
O2 0.1910 0.5744 0.8129
```

***

Computed, not measured: InTc2O at its PBEsol-relaxed geometry at the meta-GGA SCAN level of DFT.

Properties
DOS(E_F), states/eV/cell: 13.86
ΔE_f (raw), eV per atom: 0.9141
Calculated volume, Å³/cell: 225

CIF file:
```
data_InTc2O
_symmetry_space_group_name_H-M 'F m -3 m'
_symmetry_Int_Tables_number 225
_symmetry_space_group_name_Hall '-F 4 2 3'
_cell_length_a 6.0805
_cell_length_b 6.0805
_cell_length_c 6.0805
_cell_angle_alpha 90.00
_cell_angle_beta 90.00
_cell_angle_gamma 90.00
loop_
_atom_site_label
_atom_site_fract_x
_atom_site_fract_y
_atom_site_fract_z
In1 0.0000 0.0000 0.0000
Tc1 0.2500 0.2500 0.2500
O1 0.0000 0.0000 0.5000
```

***

Computed, not measured: In6TeO12 at its PBEsol-relaxed geometry at the meta-GGA SCAN level of DFT.

Properties
DOS(E_F), states/eV/cell: 0.00
ΔE_f (raw), eV per atom: -1.6864
Calculated volume, Å³/cell: 704

CIF file:
```
data_In6TeO12
_symmetry_space_group_name_H-M 'R -3'
_symmetry_Int_Tables_number 148
_symmetry_space_group_name_Hall '-R 3'
_cell_length_a 9.4808
_cell_length_b 9.4808
_cell_length_c 9.0392
_cell_angle_alpha 90.00
_cell_angle_beta 90.00
_cell_angle_gamma 120.00
loop_
_atom_site_label
_atom_site_fract_x
_atom_site_fract_y
_atom_site_fract_z
In1 0.0376 0.7855 0.1449
Te1 0.0000 0.0000 0.5000
O1 0.0234 0.8020 0.8971
O2 0.0314 0.8443 0.3845
```

***

Computed, not measured: TmInO3 at its PBEsol-relaxed geometry at the meta-GGA SCAN level of DFT.

Properties
DOS(E_F), states/eV/cell: 0.00
ΔE_f (raw), eV per atom: -2.8427
Calculated volume, Å³/cell: 251

CIF file:
```
data_TmInO3
_symmetry_space_group_name_H-M 'P n m a'
_symmetry_Int_Tables_number 62
_cell_length_a 5.7316
_cell_length_b 8.1094
_cell_length_c 5.3983
_cell_angle_alpha 90.00
_cell_angle_beta 90.00
_cell_angle_gamma 90.00
loop_
_symmetry_equiv_pos_as_xyz
'x,y,z'
'-x,-y,-z'
'-x+1/2,-y,z+1/2'
'x+1/2,y,-z+1/2'
'x+1/2,-y+1/2,-z+1/2'
'-x+1/2,y+1/2,z+1/2'
'-x,y+1/2,-z'
'x,-y+1/2,z'
loop_
_atom_site_label
_atom_site_fract_x
_atom_site_fract_y
_atom_site_fract_z
Tm1 0.0667 0.2500 0.0260
In1 0.0000 0.0000 0.5000
O1 0.0762 0.7500 0.3470
O2 0.1907 0.5803 0.8131
```

***

Computed, not measured: In6WO12 at its PBEsol-relaxed geometry at the meta-GGA SCAN level of DFT.

Properties
DOS(E_F), states/eV/cell: 0.00
ΔE_f (raw), eV per atom: -1.8875
Calculated volume, Å³/cell: 705

CIF file:
```
data_In6WO12
_symmetry_space_group_name_H-M 'R -3'
_symmetry_Int_Tables_number 148
_symmetry_space_group_name_Hall '-R 3'
_cell_length_a 9.5294
_cell_length_b 9.5294
_cell_length_c 8.9600
_cell_angle_alpha 90.00
_cell_angle_beta 90.00
_cell_angle_gamma 120.00
loop_
_atom_site_label
_atom_site_fract_x
_atom_site_fract_y
_atom_site_fract_z
In1 0.0330 0.7837 0.1438
W1 0.0000 0.0000 0.5000
O1 0.0164 0.8397 0.3809
O2 0.0194 0.8006 0.8947
```

***

Computed, not measured: In2WO6 at its PBEsol-relaxed geometry at the meta-GGA SCAN level of DFT.

Properties
DOS(E_F), states/eV/cell: 0.00
ΔE_f (raw), eV per atom: -1.9683
Calculated volume, Å³/cell: 869

CIF file:
```
data_In2WO6
_symmetry_space_group_name_H-M 'P b c a'
_symmetry_Int_Tables_number 61
_cell_length_a 5.3887
_cell_length_b 15.7316
_cell_length_c 10.2484
_cell_angle_alpha 90.00
_cell_angle_beta 90.00
_cell_angle_gamma 90.00
loop_
_symmetry_equiv_pos_as_xyz
'x,y,z'
'-x,-y,-z'
'-x+1/2,-y,z+1/2'
'x+1/2,y,-z+1/2'
'x+1/2,-y+1/2,-z'
'-x+1/2,y+1/2,z'
'-x,y+1/2,-z+1/2'
'x,-y+1/2,z+1/2'
loop_
_atom_site_label
_atom_site_fract_x
_atom_site_fract_y
_atom_site_fract_z
In1 0.0267 0.2308 0.1460
In2 0.0776 0.0652 0.3604
W1 0.0941 0.1165 0.8808
O1 0.0630 0.0199 0.7821
O2 0.1291 0.6037 0.4909
O3 0.1343 0.5657 0.9617
O4 0.1796 0.6729 0.7328
O5 0.1846 0.2278 0.9531
O6 0.2045 0.6470 0.2304
```

***

Computed, not measured: In2WO6 at its PBEsol-relaxed geometry at the meta-GGA SCAN level of DFT.

Properties
DOS(E_F), states/eV/cell: 0.00
ΔE_f (raw), eV per atom: -1.9882
Calculated volume, Å³/cell: 887

CIF file:
```
data_In2WO6
_symmetry_space_group_name_H-M 'P 21 21 21'
_symmetry_Int_Tables_number 19
_cell_length_a 4.8257
_cell_length_b 8.9347
_cell_length_c 20.5698
_cell_angle_alpha 90.00
_cell_angle_beta 90.00
_cell_angle_gamma 90.00
loop_
_symmetry_equiv_pos_as_xyz
'x,y,z'
'-x+1/2,-y,z+1/2'
'x+1/2,-y+1/2,-z'
'-x,y+1/2,-z+1/2'
loop_
_atom_site_label
_atom_site_fract_x
_atom_site_fract_y
_atom_site_fract_z
In1 0.0012 0.1876 0.2995
In2 0.0020 0.7101 0.9334
In3 0.0034 0.1296 0.0610
In4 0.0061 0.1429 0.8287
W1 0.0052 0.4949 0.0606
W2 0.0063 0.4957 0.8119
O1 0.2114 0.8321 0.4064
O2 0.2178 0.8467 0.6446
O3 0.2188 0.1397 0.3910
O4 0.2251 0.1541 0.6527
O5 0.2248 0.9894 0.7645
O6 0.2256 0.5188 0.1381
O7 0.2262 0.6477 0.0189
O8 0.2274 0.6386 0.7649
O9 0.2284 0.0235 0.5137
O10 0.2294 0.3314 0.7823
O11 0.2299 0.3414 0.0248
O12 0.2322 0.5215 0.8882
```

***

> What is the calculated volume in the second record?

267 Å³/cell

***

> Which of these has the lowest ΔE_f (raw)?

Sr2TaInO6

***

Repeat the eighth record exactly.
Computed, not measured: TmInO3 at its PBEsol-relaxed geometry at the meta-GGA SCAN level of DFT.

Properties
DOS(E_F), states/eV/cell: 0.00
ΔE_f (raw), eV per atom: -2.8427
Calculated volume, Å³/cell: 251

CIF file:
```
data_TmInO3
_symmetry_space_group_name_H-M 'P n m a'
_symmetry_Int_Tables_number 62
_cell_length_a 5.7316
_cell_length_b 8.1094
_cell_length_c 5.3983
_cell_angle_alpha 90.00
_cell_angle_beta 90.00
_cell_angle_gamma 90.00
loop_
_symmetry_equiv_pos_as_xyz
'x,y,z'
'-x,-y,-z'
'-x+1/2,-y,z+1/2'
'x+1/2,y,-z+1/2'
'x+1/2,-y+1/2,-z+1/2'
'-x+1/2,y+1/2,z+1/2'
'-x,y+1/2,-z'
'x,-y+1/2,z'
loop_
_atom_site_label
_atom_site_fract_x
_atom_site_fract_y
_atom_site_fract_z
Tm1 0.0667 0.2500 0.0260
In1 0.0000 0.0000 0.5000
O1 0.0762 0.7500 0.3470
O2 0.1907 0.5803 0.8131
```

***

> Which of these has the highest ΔE_f (raw)?

InTc2O